Here is a relaxed structure of VIrRh2 from the Alexandria database. Energies are from PBE.

space-group type	Fm-3m
formation energy	0.3	eV per formula unit
raw total energy	-32.39	eV/cell

a b c (Å): 4.335 4.335 4.335
angles (deg): 60.00 60.00 60.00
Sites, in units of the cell vectors:
V  0.000  0.000  0.000
Ir  0.500  0.500  0.500
Rh  0.250  0.250  0.250
Rh  0.750  0.750  0.750

=====

Here is a relaxed structure of V2IrRh8 from the Alexandria database. Energies are from PBE.

space-group type	Immm
formation energy	-1.4	eV per formula unit
raw total energy	-87.30	eV/cell

a b c (Å): 7.190 7.190 7.190
angles (deg): 147.66 126.12 64.26
Sites, in units of the cell vectors:
V  0.200  0.200  0.000
V  0.800  0.800  0.000
Ir  0.500  0.500  0.000
Rh  0.059  0.350  0.709
Rh  0.203  0.000  0.203
Rh  0.342  0.842  0.500
Rh  0.360  0.650  0.709
Rh  0.640  0.350  0.291
Rh  0.658  0.158  0.500
Rh  0.797  0.000  0.797
Rh  0.941  0.650  0.291

=====

Here is a relaxed structure of VIrRh2 from the Alexandria database. Energies are from PBE.

space-group type	I-42d
formation energy	0.6	eV per formula unit
raw total energy	-64.09	eV/cell

a b c (Å): 9.284 9.284 9.284
angles (deg): 156.97 156.97 32.80
Sites, in units of the cell vectors:
V  0.000  0.000  0.000
V  0.750  0.250  0.500
Ir  0.250  0.750  0.500
Ir  0.500  0.500  0.000
Rh  0.124  0.625  0.999
Rh  0.375  0.374  0.499
Rh  0.626  0.125  0.001
Rh  0.875  0.876  0.501

=====

Here is a relaxed structure of V4IrRh from the Alexandria database. Energies are from PBE.

space-group type	C2/m
formation energy	1.2	eV per formula unit
raw total energy	-51.47	eV/cell

a b c (Å): 3.927 3.927 7.561
angles (deg): 105.51 105.51 62.68
Sites, in units of the cell vectors:
V  0.110  0.110  0.359
V  0.389  0.389  0.142
V  0.611  0.611  0.858
V  0.890  0.890  0.641
Ir  0.500  0.500  0.500
Rh  0.000  0.000  0.000

=====

Here is a relaxed structure of VIr8Rh3 from the Alexandria database. Energies are from PBE.

space-group type	I4/mmm
formation energy	14.6	eV per formula unit
raw total energy	-87.51	eV/cell

a b c (Å): 7.041 7.041 7.041
angles (deg): 98.65 98.65 134.37
Sites, in units of the cell vectors:
V  0.000  0.000  0.000
Ir  0.085  0.085  0.683
Ir  0.085  0.402  0.000
Ir  0.402  0.085  0.000
Ir  0.402  0.402  0.317
Ir  0.598  0.598  0.683
Ir  0.598  0.915  0.000
Ir  0.915  0.598  0.000
Ir  0.915  0.915  0.317
Rh  0.250  0.750  0.500
Rh  0.500  0.500  0.000
Rh  0.750  0.250  0.500

=====

Here is a relaxed structure of V4Ir3Rh from the Alexandria database. Energies are from PBE.

space-group type	Pmma
formation energy	-3.7	eV per formula unit
raw total energy	-148.27	eV/cell
relative energy among the computed polymorphs	0	meV per atom

a b c (Å): 8.718 5.508 4.626
angles (deg): 90.00 90.00 90.00
Sites, in units of the cell vectors:
V  0.000  0.249  0.000
V  0.000  0.751  0.000
V  0.250  0.249  0.359
V  0.250  0.751  0.359
V  0.500  0.249  0.000
V  0.500  0.751  0.000
V  0.750  0.249  0.641
V  0.750  0.751  0.641
Ir  0.000  0.000  0.500
Ir  0.250  0.000  0.867
Ir  0.250  0.500  0.871
Ir  0.500  0.000  0.500
Ir  0.750  0.000  0.133
Ir  0.750  0.500  0.129
Rh  0.000  0.500  0.500
Rh  0.500  0.500  0.500

=====

Here is a relaxed structure of V5Ir4Rh2 from the Alexandria database. Energies are from PBE.

space-group type	Pbam
formation energy	-2.8	eV per formula unit
raw total energy	-197.18	eV/cell

a b c (Å): 6.215 14.828 3.455
angles (deg): 90.00 90.00 90.00
Sites, in units of the cell vectors:
V  0.000  0.000  0.000
V  0.123  0.417  0.000
V  0.216  0.187  0.000
V  0.284  0.687  0.000
V  0.377  0.917  0.000
V  0.500  0.500  0.000
V  0.623  0.083  0.000
V  0.716  0.313  0.000
V  0.784  0.813  0.000
V  0.877  0.583  0.000
Ir  0.093  0.874  0.500
Ir  0.195  0.547  0.500
Ir  0.305  0.047  0.500
Ir  0.407  0.374  0.500
Ir  0.593  0.626  0.500
Ir  0.695  0.953  0.500
Ir  0.805  0.453  0.500
Ir  0.907  0.126  0.500
Rh  0.016  0.294  0.500
Rh  0.484  0.794  0.500
Rh  0.516  0.206  0.500
Rh  0.984  0.706  0.500

=====

Here is a relaxed structure of V5IrRh4 from the Alexandria database. Energies are from PBE.

space-group type	P4/mmm
formation energy	-4.0	eV per formula unit
raw total energy	-87.83	eV/cell

a b c (Å): 2.749 2.749 18.221
angles (deg): 90.00 90.00 90.00
Sites, in units of the cell vectors:
V  0.000  0.000  0.000
V  0.000  0.000  0.200
V  0.000  0.000  0.400
V  0.000  0.000  0.600
V  0.000  0.000  0.800
Ir  0.500  0.500  0.500
Rh  0.500  0.500  0.100
Rh  0.500  0.500  0.299
Rh  0.500  0.500  0.701
Rh  0.500  0.500  0.900